An optimized crystal structure of MgTiIr3. Source: Alexandria, functional PBE-GGA.

Cell: 4.4316 4.4316 4.4316 Å, 90.00 90.00 90.00°
Space group Pm-3m (No. 221)
One atom of each set of equivalent atoms:
Mg 0.0000 0.0000 0.0000
Ti 0.5000 0.5000 0.5000
Ir 0.0000 0.0000 0.5000

Properties
Energy above the most stable polymorph in this dataset   375.8 meV per atom
Energy of formation from the pure elements   1.082 eV per atom